Computed, not measured: crystalline Dy4Tm5Sb2 at its relaxed geometry at the PBE-GGA level of DFT.

Calculated values
Raw formation energy = 0.0772 eV/atom
Density = 8.07 Mg/m³
Magnetization = 0.0 Bohr magnetons per cell
Space group = No. 166
N(E_F) = 18.60 states/eV per cell
Energy = -4.38 eV per atom

```
Dy4Tm5Sb2
1.0
2.5831 1.4913 15.4831
-2.5831 1.4913 15.4831
0.0000 -2.9827 15.4831
Dy Tm Sb
4 5 2
Direct
0.0700 0.0700 0.0700
0.2247 0.2247 0.2247
0.7753 0.7753 0.7753
0.9300 0.9300 0.9300
0.0000 0.0000 0.0000
0.1471 0.1471 0.1471
0.3033 0.3033 0.3033
0.6967 0.6967 0.6967
0.8529 0.8529 0.8529
0.3729 0.3729 0.3729
0.6271 0.6271 0.6271
```